Ca2Mn2V3AgO12 (PBE with a Hubbard U, relaxed); DFT total energy = -7.245 eV per atom; crystal system = tetragonal
1.0
11.056 0.017 0.000
-3.589 10.457 0.000
-3.734 -5.237 8.993
O V Mn Ca Ag
48 12 8 8 4
direct
0.520 0.394 0.560
0.016 0.177 0.758
0.711 0.085 0.940
0.323 0.484 0.242
0.742 0.984 0.160
0.211 0.270 0.626
0.325 0.479 0.965
0.425 0.890 0.654
0.835 0.961 0.440
0.918 0.677 0.160
0.415 0.789 0.060
0.640 0.675 0.154
0.242 0.082 0.758
0.730 0.356 0.940
0.508 0.766 0.340
0.823 0.582 0.840
0.734 0.992 0.660
0.735 0.390 0.465
0.427 0.168 0.660
0.110 0.765 0.535
0.140 0.985 0.965
0.610 0.075 0.346
0.008 0.668 0.742
0.644 0.585 0.374
0.020 0.461 0.126
0.515 0.360 0.035
0.539 0.665 0.560
0.927 0.266 0.258
0.418 0.258 0.242
0.516 0.758 0.840
0.606 0.165 0.126
0.832 0.492 0.258
0.144 0.770 0.060
0.915 0.856 0.626
0.230 0.289 0.374
0.015 0.979 0.154
0.521 0.485 0.846
0.729 0.265 0.654
0.039 0.480 0.874
0.925 0.271 0.535
0.106 0.980 0.440
0.335 0.894 0.874
0.234 0.573 0.742
0.235 0.771 0.346
0.825 0.860 0.846
0.229 0.575 0.465
0.021 0.175 0.035
0.332 0.073 0.340
0.247 0.125 0.622
0.000 0.000 0.000
0.503 0.625 0.378
0.747 0.125 0.122
0.375 0.753 0.878
0.500 0.500 0.000
0.750 0.250 0.500
0.003 0.625 0.878
0.875 0.997 0.622
0.250 0.750 0.500
0.375 0.253 0.378
0.875 0.497 0.122
0.125 0.375 0.250
0.625 0.375 0.750
0.125 0.375 0.750
0.625 0.875 0.750
0.125 0.875 0.750
0.625 0.875 0.250
0.125 0.875 0.250
0.625 0.375 0.250
0.875 0.746 0.371
0.996 0.125 0.371
0.375 0.004 0.129
0.496 0.125 0.871
0.254 0.625 0.129
0.375 0.504 0.629
0.875 0.246 0.871
0.754 0.625 0.629
0.500 0.000 0.500
0.250 0.250 0.000
0.000 0.500 0.500
0.750 0.750 0.000